No. 1
DFT (GGA-PBE) results for TbTmPu2 after structural relaxation.

Crystal system: tetragonal
E_form, eV per formula unit: 0.67
Distance to the lowest polymorph of the same formula, meV per atom: 0
Calculated volume, Å³/cell: 115.8

Cell: 3.392 3.392 10.062 Å, 90.00 90.00 90.00°
Space group P4/mmm (No. 123)
Asymmetric unit:
Tb1 0.000 0.000 0.000 (multiplicity 1)
Tm1 0.000 0.000 0.500 (multiplicity 1)
Pu1 0.500 0.500 0.253 (multiplicity 2)



No. 2
DFT (GGA-PBE) results for Th2FeNi after structural relaxation.

Crystal system: tetragonal
E_form, eV per formula unit: -0.28
Distance to the lowest polymorph of the same formula, meV per atom: 201
Calculated volume, Å³/cell: 84.9

Cell: 3.469 3.469 7.056 Å, 90.00 90.00 90.00°
Space group P4/mmm (No. 123)
Asymmetric unit:
Th1 0.000 0.000 0.246 (multiplicity 2)
Fe1 0.500 0.500 0.000 (multiplicity 1)
Ni1 0.500 0.500 0.500 (multiplicity 1)



No. 3
DFT (GGA-PBE) results for CsRe3Sn after structural relaxation.

Crystal system: cubic
E_form, eV per formula unit: 19.46
Distance to the lowest polymorph of the same formula, meV per atom: 1065
Calculated volume, Å³/cell: 124.7

Cell: 4.996 4.996 4.996 Å, 90.00 90.00 90.00°
Space group Pm-3m (No. 221)
Asymmetric unit:
Cs1 0.000 0.000 0.000 (multiplicity 1)
Re1 0.000 0.000 0.500 (multiplicity 3)
Sn1 0.500 0.500 0.500 (multiplicity 1)



No. 4
DFT (GGA-PBE) results for Cs2ReF after structural relaxation.

Crystal system: tetragonal
ΔE_f (raw), eV per atom: 0.286
Calculated volume, Å³/cell: 688.6

Cell: 8.561 8.561 9.395 Å, 90.00 90.00 90.00°
Space group I-42d (No. 122)
Asymmetric unit:
Cs1 0.165 0.250 0.125 (multiplicity 8)
Re1 0.000 0.000 0.500 (multiplicity 4)
F1 0.000 0.000 0.000 (multiplicity 4)



No. 5
DFT (GGA-PBE) results for ErGaTe3 after structural relaxation.

Crystal system: orthorhombic
ΔE_f (raw), eV per atom: -0.716
Calculated volume, Å³/cell: 717.2

Cell: 8.355 11.668 7.357 Å, 90.00 90.00 90.00°
Space group Pnma (No. 62)
Asymmetric unit:
Er1 0.000 0.000 0.000 (multiplicity 4)
Ga1 0.166 0.250 0.462 (multiplicity 4)
Te1 0.002 0.750 0.855 (multiplicity 4)
Te2 0.181 0.062 0.655 (multiplicity 8)



No. 6
DFT (GGA-PBE) results for LaHfRu2 after structural relaxation.

Crystal system: tetragonal
E_form, eV per formula unit: -1.58
Calculated volume, Å³/cell: 78.3

Cell: 3.330 3.330 7.056 Å, 90.00 90.00 90.00°
Space group P4/mmm (No. 123)
Asymmetric unit:
La1 0.000 0.000 0.000 (multiplicity 1)
Hf1 0.000 0.000 0.500 (multiplicity 1)
Ru1 0.500 0.500 0.284 (multiplicity 2)



No. 7
DFT (GGA-PBE) results for TbPrNd2Se4 after structural relaxation.

Crystal system: monoclinic
ΔE_f (raw), eV per atom: -1.818
Calculated volume, Å³/cell: 210.7

Cell: 7.293 4.151 7.351 Å, 90.00 108.80 90.00°
Space group P2/m (No. 10)
Asymmetric unit:
Tb1 0.000 0.000 0.000 (multiplicity 1)
Pr1 0.000 0.500 0.500 (multiplicity 1)
Nd1 0.500 0.000 0.500 (multiplicity 1)
Nd2 0.500 0.500 0.000 (multiplicity 1)
Se1 0.242 0.500 0.240 (multiplicity 2)
Se2 0.248 0.000 0.756 (multiplicity 2)



No. 8
DFT (GGA-PBE) results for Na2MgIn3Sn4 after structural relaxation.

Crystal system: tetragonal
E_form, eV per formula unit: -0.66
Calculated volume, Å³/cell: 303.6

Cell: 4.953 4.953 12.376 Å, 90.00 90.00 90.00°
Space group P-4m2 (No. 115)
Asymmetric unit:
Na1 0.000 0.500 0.235 (multiplicity 2)
Mg1 0.500 0.500 0.000 (multiplicity 1)
In1 0.000 0.000 0.000 (multiplicity 1)
In2 0.000 0.500 0.639 (multiplicity 2)
Sn1 0.000 0.000 0.500 (multiplicity 1)
Sn2 0.000 0.500 0.867 (multiplicity 2)
Sn3 0.500 0.500 0.500 (multiplicity 1)



No. 9
DFT (GGA-PBE) results for TcPW2 after structural relaxation.

Crystal system: monoclinic
E_form, eV per formula unit: 0.93
Calculated volume, Å³/cell: 118.6

Cell: 5.743 6.794 3.054 Å, 90.00 95.50 90.00°
Space group C2/m (No. 12)
Asymmetric unit:
Tc1 0.000 0.000 0.000 (multiplicity 2)
P1 0.000 0.500 0.000 (multiplicity 2)
W1 0.250 0.250 0.500 (multiplicity 4)



No. 10
DFT (GGA-PBE) results for Pm12Nd5Y after structural relaxation.

Crystal system: monoclinic
E_form, eV per formula unit: 0.06
Calculated volume, Å³/cell: 1244.3

Cell: 6.356 10.996 17.931 Å, 90.00 96.83 90.00°
Space group C2/m (No. 12)
Asymmetric unit:
Pm1 0.111 0.000 0.333 (multiplicity 4)
Pm2 0.111 0.333 0.333 (multiplicity 8)
Pm3 0.222 0.167 0.167 (multiplicity 8)
Pm4 0.223 0.500 0.167 (multiplicity 4)
Nd1 0.000 0.000 0.000 (multiplicity 2)
Nd2 0.000 0.167 0.500 (multiplicity 4)
Nd3 0.000 0.333 0.000 (multiplicity 4)
Y1 0.000 0.500 0.500 (multiplicity 2)



No. 11
DFT (GGA-PBE) results for Hf6VIr5 after structural relaxation.

Crystal system: orthorhombic
E_form, eV per formula unit: -9.56
Calculated volume, Å³/cell: 419.4

Cell: 4.573 6.679 13.730 Å, 90.00 90.00 90.00°
Space group Immm (No. 71)
Asymmetric unit:
Hf1 0.000 0.247 0.000 (multiplicity 4)
Hf2 0.000 0.252 0.334 (multiplicity 8)
V1 0.000 0.500 0.500 (multiplicity 2)
Ir1 0.000 0.000 0.166 (multiplicity 4)
Ir2 0.000 0.000 0.500 (multiplicity 2)
Ir3 0.000 0.500 0.169 (multiplicity 4)



No. 12
DFT (GGA-PBE) results for Rb5Hg3 after structural relaxation.

Crystal system: tetragonal
E_form, eV per formula unit: -1.18
Distance to the lowest polymorph of the same formula, meV per atom: 5
Calculated volume, Å³/cell: 426.1

Cell: 4.554 4.554 20.545 Å, 90.00 90.00 90.00°
Space group P4/mmm (No. 123)
Asymmetric unit:
Rb1 0.000 0.000 0.000 (multiplicity 1)
Rb2 0.000 0.000 0.213 (multiplicity 2)
Rb3 0.500 0.500 0.395 (multiplicity 2)
Hg1 0.000 0.000 0.500 (multiplicity 1)
Hg2 0.500 0.500 0.107 (multiplicity 2)



No. 13
DFT (GGA-PBE) results for Cs4Na2Au after structural relaxation.

Crystal system: tetragonal
E_form, eV per formula unit: -0.38
Distance to the lowest polymorph of the same formula, meV per atom: 20
Calculated volume, Å³/cell: 1076.7

Cell: 7.048 7.048 21.676 Å, 90.00 90.00 90.00°
Space group I4/mmm (No. 139)
Asymmetric unit:
Cs1 0.000 0.000 0.171 (multiplicity 4)
Cs2 0.000 0.500 0.000 (multiplicity 4)
Na1 0.000 0.000 0.370 (multiplicity 4)
Au1 0.000 0.000 0.000 (multiplicity 2)



No. 14
DFT (GGA-PBE) results for La5Er2Tm4 after structural relaxation.

Crystal system: monoclinic
E_form, eV per formula unit: 0.93
Distance to the lowest polymorph of the same formula, meV per atom: 0
Calculated volume, Å³/cell: 733.2

Cell: 17.670 3.551 11.711 Å, 90.00 93.92 90.00°
Space group C2/m (No. 12)
Asymmetric unit:
La1 0.000 0.000 0.000 (multiplicity 2)
La2 0.099 0.500 0.535 (multiplicity 4)
La3 0.176 0.500 0.071 (multiplicity 4)
Er1 0.215 0.000 0.346 (multiplicity 4)
Tm1 0.036 0.500 0.262 (multiplicity 4)
Tm2 0.140 0.000 0.797 (multiplicity 4)



No. 15
DFT (GGA-PBE) results for Th2TiPb after structural relaxation.

Crystal system: trigonal
E_form, eV per formula unit: 1.42
Distance to the lowest polymorph of the same formula, meV per atom: 378
Calculated volume, Å³/cell: 342.0

Cell: 3.3349 3.3349 35.5092 Å, 90.00 90.00 120.00°
Space group R-3m (No. 166, hexagonal axes)
Asymmetric unit:
Th1 0.0000 0.0000 0.0836 (multiplicity 6)
Ti1 0.0000 0.0000 0.0000 (multiplicity 3)
Pb1 0.0000 0.0000 0.5000 (multiplicity 3)



No. 16
DFT (GGA-PBE) results for NdNi4Rh after structural relaxation.

Crystal system: orthorhombic
E_form, eV per formula unit: -0.32
Distance to the lowest polymorph of the same formula, meV per atom: 102
Calculated volume, Å³/cell: 359.9

Cell: 3.829 15.187 6.189 Å, 90.00 90.00 90.00°
Space group Cmcm (No. 63)
Asymmetric unit:
Nd1 0.000 0.111 0.250 (multiplicity 4)
Ni1 0.000 0.075 0.750 (multiplicity 4)
Ni2 0.000 0.341 0.066 (multiplicity 8)
Ni3 0.000 0.500 0.000 (multiplicity 4)
Rh1 0.000 0.240 0.750 (multiplicity 4)



No. 17
DFT (GGA-PBE) results for MgZr2Sc3N6 after structural relaxation.

Crystal system: monoclinic
ΔE_f (raw), eV per atom: -1.705
Calculated volume, Å³/cell: 280.4

Cell: 13.963 3.214 6.421 Å, 90.00 103.39 90.00°
Space group C2/m (No. 12)
Asymmetric unit:
Mg1 0.000 0.000 0.000 (multiplicity 2)
Zr1 0.163 0.500 0.327 (multiplicity 4)
Sc1 0.000 0.000 0.500 (multiplicity 2)
Sc2 0.163 0.500 0.835 (multiplicity 4)
N1 0.001 0.500 0.255 (multiplicity 4)
N2 0.166 0.000 0.583 (multiplicity 4)
N3 0.168 0.000 0.084 (multiplicity 4)



No. 18
DFT (GGA-PBE) results for SrAgAu2 after structural relaxation.

Crystal system: orthorhombic
E_form, eV per formula unit: -1.67
Calculated volume, Å³/cell: 104.0

Cell: 3.921 4.843 5.478 Å, 90.00 90.00 90.00°
Space group Pmm2 (No. 25)
Asymmetric unit:
Sr1 0.000 0.000 0.000 (multiplicity 1)
Ag1 0.500 0.500 0.730 (multiplicity 1)
Au1 0.500 0.000 0.488 (multiplicity 1)
Au2 0.500 0.500 0.223 (multiplicity 1)



No. 19
DFT (GGA-PBE) results for CuNiRh2 after structural relaxation.

Crystal system: orthorhombic
E_form, eV per formula unit: 0.74
Calculated volume, Å³/cell: 53.1

Cell: 2.714 4.360 4.490 Å, 90.00 90.00 90.00°
Space group Pmmm (No. 47)
Asymmetric unit:
Cu1 0.000 0.000 0.000 (multiplicity 1)
Ni1 0.500 0.000 0.500 (multiplicity 1)
Rh1 0.000 0.500 0.500 (multiplicity 1)
Rh2 0.500 0.500 0.000 (multiplicity 1)



No. 20
DFT (GGA-PBE) results for VGeAs2 after structural relaxation.

Crystal system: trigonal
E_form, eV per formula unit: -0.10
Calculated volume, Å³/cell: 214.4

Cell: 3.3512 3.3512 22.0392 Å, 90.00 90.00 120.00°
Space group R3m (No. 160, hexagonal axes)
Asymmetric unit:
V1 0.0000 0.0000 0.0000 (multiplicity 3)
Ge1 0.0000 0.0000 0.1598 (multiplicity 3)
As1 0.0000 0.0000 0.4075 (multiplicity 3)
As2 0.0000 0.0000 0.5938 (multiplicity 3)



No. 21
DFT (GGA-PBE) results for NdB4C2 after structural relaxation.

Crystal system: tetragonal
E_form, eV per formula unit: 1.26
Calculated volume, Å³/cell: 167.2

Cell: 6.098 6.098 4.496 Å, 90.00 90.00 90.00°
Space group P4_2/mnm (No. 136)
Asymmetric unit:
Nd1 0.000 0.000 0.000 (multiplicity 2)
B1 0.054 0.382 0.500 (multiplicity 8)
C1 0.190 0.190 0.500 (multiplicity 4)



No. 22
DFT (GGA-PBE) results for Pr12Dy6Mg after structural relaxation.

Crystal system: trigonal
E_form, eV per formula unit: 2.21
Distance to the lowest polymorph of the same formula, meV per atom: 0
Calculated volume, Å³/cell: 1984.8

Cell: 12.1824 12.1824 15.4424 Å, 90.00 90.00 120.00°
Space group R-3 (No. 148, hexagonal axes)
Asymmetric unit:
Pr1 0.0062 0.8291 0.3120 (multiplicity 18)
Pr2 0.0468 0.2003 0.9153 (multiplicity 18)
Dy1 0.0225 0.5906 0.1907 (multiplicity 18)
Mg1 0.0000 0.0000 0.5000 (multiplicity 3)



No. 23
DFT (GGA-PBE) results for Li2Mg9Cd after structural relaxation.

Crystal system: triclinic
E_form, eV per formula unit: -0.48
Calculated volume, Å³/cell: 260.1

Cell: 5.097 7.667 7.905 Å, 101.05 108.75 109.38°
Space group P-1 (No. 2)
Asymmetric unit:
Li1 0.170 0.252 0.084 (multiplicity 2)
Mg1 0.162 0.001 0.317 (multiplicity 2)
Mg2 0.166 0.755 0.581 (multiplicity 2)
Mg3 0.170 0.505 0.841 (multiplicity 2)
Mg4 0.490 0.243 0.743 (multiplicity 2)
Mg5 0.500 0.500 0.500 (multiplicity 1)
Cd1 0.500 0.000 0.000 (multiplicity 1)



No. 24
DFT (GGA-PBE) results for Ta2ReRu after structural relaxation.

Crystal system: monoclinic
E_form, eV per formula unit: -0.59
Calculated volume, Å³/cell: 64.9

Cell: 2.808 4.380 5.335 Å, 90.00 98.54 90.00°
Space group P2/m (No. 10)
Asymmetric unit:
Ta1 0.245 0.000 0.252 (multiplicity 2)
Re1 0.000 0.500 0.500 (multiplicity 1)
Ru1 0.500 0.500 0.000 (multiplicity 1)